# PBE Li5BN3, optimized geometry
data_Li5BN3
_cell_length_a 9.986
_cell_length_b 5.061
_cell_length_c 7.409
_cell_angle_alpha 90.00
_cell_angle_beta 111.63
_cell_angle_gamma 90.00
_symmetry_space_group_name_H-M 'C 1 2/c 1'
_symmetry_Int_Tables_number 15
loop_
_symmetry_equiv_pos_as_xyz
'x,y,z'
'-x,-y,-z'
'-x,y,-z+1/2'
'x,-y,z+1/2'
'x+1/2,y+1/2,z'
'-x+1/2,-y+1/2,-z'
'-x+1/2,y+1/2,-z+1/2'
'x+1/2,-y+1/2,z+1/2'
loop_
_atom_site_label
_atom_site_type_symbol
_atom_site_fract_x
_atom_site_fract_y
_atom_site_fract_z
Li1 Li 0.000 0.096 0.250
Li2 Li 0.162 0.252 0.074
Li3 Li 0.167 0.241 0.591
B1 B 0.000 0.467 0.750
N1 N 0.000 0.000 0.000
N2 N 0.146 0.488 0.822
# * final energy: -45.79 eV/f.u.
# * E_form (uncorrected): -0.508 eV per atom

# PBE BeCrIr2, optimized geometry
data_BeCrIr2
_cell_length_a 5.194
_cell_length_b 5.194
_cell_length_c 10.097
_cell_angle_alpha 90.00
_cell_angle_beta 90.00
_cell_angle_gamma 90.00
_symmetry_space_group_name_H-M 'I -4 2 d'
_symmetry_Int_Tables_number 122
_symmetry_space_group_name_Hall 'I -4 2bw'
loop_
_atom_site_label
_atom_site_type_symbol
_atom_site_fract_x
_atom_site_fract_y
_atom_site_fract_z
Be1 Be 0.000 0.000 0.000
Cr1 Cr 0.000 0.000 0.500
Ir1 Ir 0.230 0.250 0.125
# * E_form: 2.8 eV per formula unit
# * final energy: -28.27 eV/f.u.

# PBE LaPm6Tm6, optimized geometry
data_LaPm6Tm6
_cell_length_a 6.7173
_cell_length_b 6.7173
_cell_length_c 11.4198
_cell_angle_alpha 90.00
_cell_angle_beta 90.00
_cell_angle_gamma 120.00
_symmetry_space_group_name_H-M 'P 6/m m m'
_symmetry_Int_Tables_number 191
_symmetry_space_group_name_Hall '-P 6 2'
loop_
_atom_site_label
_atom_site_type_symbol
_atom_site_fract_x
_atom_site_fract_y
_atom_site_fract_z
La1 La 0.0000 0.0000 0.0000
Pm1 Pm 0.0000 0.0000 0.3477
Pm2 Pm 0.3333 0.6667 0.0000
Pm3 Pm 0.3333 0.6667 0.5000
Tm1 Tm 0.0000 0.5000 0.2467
# * E_form: 3.2 eV per formula unit
# * final energy: -57.09 eV/f.u.

# PBE PuSBr, optimized geometry
data_PuSBr
_cell_length_a 6.820
_cell_length_b 6.820
_cell_length_c 6.820
_cell_angle_alpha 90.00
_cell_angle_beta 90.00
_cell_angle_gamma 90.00
_symmetry_space_group_name_H-M 'F -4 3 m'
_symmetry_Int_Tables_number 216
_symmetry_space_group_name_Hall 'F -4 2 3'
loop_
_atom_site_label
_atom_site_type_symbol
_atom_site_fract_x
_atom_site_fract_y
_atom_site_fract_z
Pu1 Pu 0.000 0.000 0.000
S1 S 0.250 0.250 0.750
Br1 Br 0.250 0.250 0.250
# * final energy: -24.44 eV/f.u.
# * E_form (uncorrected): -1.435 eV per atom
# * energy relative to the lowest polymorph listed for this composition: 215.3 meV/atom

# PBE NpZnFe2Ge4, optimized geometry
data_NpZnFe2Ge4
_cell_length_a 3.674
_cell_length_b 3.674
_cell_length_c 10.506
_cell_angle_alpha 90.00
_cell_angle_beta 90.00
_cell_angle_gamma 90.00
_symmetry_space_group_name_H-M 'P 4/m m m'
_symmetry_Int_Tables_number 123
_symmetry_space_group_name_Hall '-P 4 2'
loop_
_atom_site_label
_atom_site_type_symbol
_atom_site_fract_x
_atom_site_fract_y
_atom_site_fract_z
Np1 Np 0.000 0.000 0.000
Zn1 Zn 0.000 0.000 0.500
Fe1 Fe 0.500 0.500 0.393
Ge1 Ge 0.000 0.500 0.230
# * E_form: 1.9 eV per formula unit
# * final energy: -47.72 eV/f.u.

# PBE Zr4PN2, optimized geometry
data_Zr4PN2
_cell_length_a 3.411
_cell_length_b 10.908
_cell_length_c 11.467
_cell_angle_alpha 90.00
_cell_angle_beta 90.00
_cell_angle_gamma 90.00
_symmetry_space_group_name_H-M 'C m c m'
_symmetry_Int_Tables_number 63
_symmetry_space_group_name_Hall '-C 2c 2'
loop_
_atom_site_label
_atom_site_type_symbol
_atom_site_fract_x
_atom_site_fract_y
_atom_site_fract_z
Zr1 Zr 0.000 0.000 0.000
Zr2 Zr 0.000 0.271 0.110
Zr3 Zr 0.000 0.429 0.750
P1 P 0.000 0.109 0.750
N1 N 0.000 0.364 0.563
# * final energy: -66.04 eV/f.u.
# * E_form (uncorrected): -1.399 eV per atom

# PBE VCuPd5, optimized geometry
data_VCuPd5
_cell_length_a 9.487
_cell_length_b 8.383
_cell_length_c 7.412
_cell_angle_alpha 90.00
_cell_angle_beta 125.06
_cell_angle_gamma 90.00
_symmetry_space_group_name_H-M 'C 1 2/c 1'
_symmetry_Int_Tables_number 15
loop_
_symmetry_equiv_pos_as_xyz
'x,y,z'
'-x,-y,-z'
'-x,y,-z+1/2'
'x,-y,z+1/2'
'x+1/2,y+1/2,z'
'-x+1/2,-y+1/2,-z'
'-x+1/2,y+1/2,-z+1/2'
'x+1/2,-y+1/2,z+1/2'
loop_
_atom_site_label
_atom_site_type_symbol
_atom_site_fract_x
_atom_site_fract_y
_atom_site_fract_z
V1 V 0.250 0.250 0.000
Cu1 Cu 0.000 0.237 0.250
Pd1 Pd 0.000 0.059 0.750
Pd2 Pd 0.127 0.500 0.473
Pd3 Pd 0.207 0.194 0.652
# * E_form: 2.1 eV per formula unit
# * final energy: -37.09 eV/f.u.
# * energy relative to the lowest polymorph listed for this composition: 316.8 meV/atom

# PBE CsZn2RhPb, optimized geometry
data_CsZn2RhPb
_cell_length_a 5.139
_cell_length_b 5.139
_cell_length_c 5.225
_cell_angle_alpha 90.00
_cell_angle_beta 90.00
_cell_angle_gamma 90.00
_symmetry_space_group_name_H-M 'P 4/m m m'
_symmetry_Int_Tables_number 123
_symmetry_space_group_name_Hall '-P 4 2'
loop_
_atom_site_label
_atom_site_type_symbol
_atom_site_fract_x
_atom_site_fract_y
_atom_site_fract_z
Cs1 Cs 0.000 0.000 0.000
Zn1 Zn 0.000 0.500 0.500
Rh1 Rh 0.500 0.500 0.500
Pb1 Pb 0.500 0.500 0.000
# * E_form: -0.3 eV per formula unit
# * final energy: -14.74 eV/f.u.

# PBE CaTiHg2, optimized geometry
data_CaTiHg2
_cell_length_a 3.515
_cell_length_b 3.515
_cell_length_c 7.314
_cell_angle_alpha 90.00
_cell_angle_beta 90.00
_cell_angle_gamma 90.00
_symmetry_space_group_name_H-M 'P 4/m m m'
_symmetry_Int_Tables_number 123
_symmetry_space_group_name_Hall '-P 4 2'
loop_
_atom_site_label
_atom_site_type_symbol
_atom_site_fract_x
_atom_site_fract_y
_atom_site_fract_z
Ca1 Ca 0.000 0.000 0.000
Ti1 Ti 0.000 0.000 0.500
Hg1 Hg 0.500 0.500 0.283
# * E_form: -0.7 eV per formula unit
# * final energy: -11.25 eV/f.u.
# * energy relative to the lowest polymorph listed for this composition: 0.0 meV/atom

# PBE CaHoTm2In4, optimized geometry
data_CaHoTm2In4
_cell_length_a 5.3065
_cell_length_b 5.3065
_cell_length_c 26.0843
_cell_angle_alpha 90.00
_cell_angle_beta 90.00
_cell_angle_gamma 120.00
_symmetry_space_group_name_H-M 'R -3 m'
_symmetry_Int_Tables_number 166
_symmetry_space_group_name_Hall '-R 3 2"'
loop_
_atom_site_label
_atom_site_type_symbol
_atom_site_fract_x
_atom_site_fract_y
_atom_site_fract_z
Ca1 Ca 0.0000 0.0000 0.0000
Ho1 Ho 0.0000 0.0000 0.5000
Tm1 Tm 0.0000 0.0000 0.2511
In1 In 0.0000 0.0000 0.1259
In2 In 0.0000 0.0000 0.3761
# * E_form: -3.5 eV per formula unit
# * final energy: -29.93 eV/f.u.

# PBE NaSbHAu2, optimized geometry
data_NaSbHAu2
_cell_length_a 5.433
_cell_length_b 5.433
_cell_length_c 3.834
_cell_angle_alpha 90.00
_cell_angle_beta 90.00
_cell_angle_gamma 90.00
_symmetry_space_group_name_H-M 'P 4/m m m'
_symmetry_Int_Tables_number 123
_symmetry_space_group_name_Hall '-P 4 2'
loop_
_atom_site_label
_atom_site_type_symbol
_atom_site_fract_x
_atom_site_fract_y
_atom_site_fract_z
Na1 Na 0.000 0.000 0.000
Sb1 Sb 0.500 0.500 0.500
H1 H 0.500 0.500 0.000
Au1 Au 0.000 0.500 0.500
# * final energy: -15.35 eV/f.u.

# PBE Ce2BeZnPt6, optimized geometry
data_Ce2BeZnPt6
_cell_length_a 5.6570
_cell_length_b 5.6570
_cell_length_c 20.3617
_cell_angle_alpha 90.00
_cell_angle_beta 90.00
_cell_angle_gamma 120.00
_symmetry_space_group_name_H-M 'R -3 m'
_symmetry_Int_Tables_number 166
_symmetry_space_group_name_Hall '-R 3 2"'
loop_
_atom_site_label
_atom_site_type_symbol
_atom_site_fract_x
_atom_site_fract_y
_atom_site_fract_z
Ce1 Ce 0.0000 0.0000 0.2138
Be1 Be 0.0000 0.0000 0.0000
Zn1 Zn 0.0000 0.0000 0.5000
Pt1 Pt 0.0073 0.5036 0.2637
# * E_form: -7.8 eV per formula unit
# * final energy: -60.94 eV/f.u.